Entry from the Open Quantum Materials Database: a relaxed structure of Li2Mg3InAu2 (PBE-GGA).

a = 4.644 Å, b = 4.644 Å, c = 6.633 Å
α = 90.00°, β = 90.00°, γ = 90.00°
Sites, in units of the cell vectors:
Au1 0.000 0.500 0.261
Au2 0.500 0.000 0.739
In1 0.000 0.000 0.000
Li1 0.500 0.000 0.250
Li2 0.000 0.500 0.750
Mg1 0.500 0.500 0.000
Mg2 0.000 0.000 0.500
Mg3 0.500 0.500 0.500

Calculated values
The energy is -2.69 eV/atom. The symmetry is P-4m2 (115).


Entry from the Open Quantum Materials Database: a relaxed structure of Li2Mg2In2PtAu (PBE-GGA).

a = 4.628 Å, b = 4.628 Å, c = 6.581 Å
α = 90.00°, β = 90.00°, γ = 90.00°
Sites, in units of the cell vectors:
Au1 0.000 0.000 0.000
In1 0.000 0.500 0.259
In2 0.500 0.000 0.741
Li1 0.500 0.500 0.000
Li2 0.000 0.000 0.500
Mg1 0.500 0.000 0.258
Mg2 0.000 0.500 0.742
Pt1 0.500 0.500 0.500

Calculated values
The energy is -3.26 eV/atom. The symmetry is P-4m2 (115).


Entry from the Open Quantum Materials Database: a relaxed structure of Li2MgScIn2Au2 (PBE-GGA).

a = 4.706 Å, b = 4.706 Å, c = 6.632 Å
α = 90.00°, β = 90.00°, γ = 90.00°
Sites, in units of the cell vectors:
Au1 0.000 0.500 0.251
Au2 0.500 0.000 0.749
In1 0.500 0.500 0.000
In2 0.000 0.000 0.500
Li1 0.500 0.000 0.237
Li2 0.000 0.500 0.763
Mg1 0.000 0.000 0.000
Sc1 0.500 0.500 0.500

Calculated values
The energy is -3.48 eV/atom. The symmetry is P-4m2 (115).